! PaMn2SbO6, optimized geometry, DFT PBE+U; values from VASP
&SYSTEM
  ibrav = 0, nat = 10, ntyp = 4
/
ATOMIC_SPECIES
Pa 231.04 Pa.upf
Mn 54.94 Mn.upf
Sb 121.76 Sb.upf
O 16.00 O.upf
ATOMIC_POSITIONS crystal
Pa 0.669 0.500 0.500
Mn 0.901 0.500 0.000
Mn 0.901 0.000 0.500
Sb 0.651 0.000 0.000
O 0.742 0.254 0.254
O 0.742 0.254 0.746
O 0.184 0.500 0.500
O 0.173 0.000 0.000
O 0.742 0.746 0.746
O 0.742 0.746 0.254
CELL_PARAMETERS angstrom
-2.347 -3.609 -0.438
3.797 -2.948 3.945
-3.588 1.756 4.766
! Total moment: 10.209 μB/cell
! Theoretical density: 5.543 g cm⁻³
! Raw total energy: -7.640 eV per atom
! Symmetry: P4mm